Below is a PBEsol-optimized structure of Sr2La2MgRu3O12, with properties calculated at the SCAN level.

a = 15.766 Å, b = 5.509 Å, c = 5.541 Å
α = 90.00°, β = 90.21°, γ = 90.00°
Fractional positions:
Sr (0.124, 0.006, 0.033)
Sr (0.124, 0.494, 0.533)
Sr (0.876, 0.506, 0.467)
Sr (0.876, 0.994, 0.967)
La (0.383, 0.508, 0.464)
La (0.383, 0.992, 0.964)
La (0.617, 0.008, 0.036)
La (0.617, 0.492, 0.536)
Mg (0.500, 0.000, 0.500)
Mg (0.500, 0.500, 0.000)
Ru (0.000, 0.000, 0.500)
Ru (0.000, 0.500, 0.000)
Ru (0.248, 0.004, 0.503)
Ru (0.248, 0.496, 0.003)
Ru (0.752, 0.504, 0.997)
Ru (0.752, 0.996, 0.497)
O (0.017, 0.218, 0.782)
O (0.017, 0.282, 0.282)
O (0.123, 0.562, 0.993)
O (0.123, 0.938, 0.493)
O (0.232, 0.214, 0.787)
O (0.232, 0.286, 0.287)
O (0.271, 0.715, 0.718)
O (0.271, 0.785, 0.218)
O (0.370, 0.068, 0.515)
O (0.370, 0.432, 0.015)
O (0.484, 0.698, 0.697)
O (0.484, 0.802, 0.197)
O (0.516, 0.198, 0.803)
O (0.516, 0.302, 0.303)
O (0.630, 0.568, 0.985)
O (0.630, 0.932, 0.485)
O (0.729, 0.215, 0.782)
O (0.729, 0.285, 0.282)
O (0.768, 0.714, 0.713)
O (0.768, 0.786, 0.213)
O (0.877, 0.062, 0.507)
O (0.877, 0.438, 0.007)
O (0.983, 0.718, 0.718)
O (0.983, 0.782, 0.218)

Summary:
- Relative energy among the computed polymorphs: 16 meV per atom
- Density of states at the Fermi level: 6.7 states/eV/cell
- Spin magnetization: 0.3000 μB/atom


Below is a PBEsol-optimized structure of Sr2La2MgRu3O12, with properties calculated at the SCAN level.

a = 5.535 Å, b = 5.562 Å, c = 7.834 Å
α = 89.73°, β = 89.99°, γ = 89.97°
Fractional positions:
Sr (0.000, 0.000, 0.000)
Sr (0.496, 0.434, 0.489)
La (0.488, 0.503, 0.001)
La (0.981, 0.923, 0.487)
Mg (0.993, 0.462, 0.245)
Ru (0.492, 0.967, 0.745)
Ru (0.493, 0.967, 0.244)
Ru (0.991, 0.466, 0.745)
O (0.052, 0.483, 0.500)
O (0.208, 0.748, 0.784)
O (0.219, 0.750, 0.214)
O (0.285, 0.260, 0.785)
O (0.288, 0.250, 0.207)
O (0.415, 0.973, 0.493)
O (0.559, 0.950, 0.996)
O (0.707, 0.682, 0.707)
O (0.709, 0.691, 0.278)
O (0.776, 0.172, 0.282)
O (0.786, 0.174, 0.704)
O (0.916, 0.456, 0.990)

Summary:
- Relative energy among the computed polymorphs: 0 meV per atom
- Density of states at the Fermi level: 2.0 states/eV/cell
- Spin magnetization: 0.3000 μB/atom


Below is a PBEsol-optimized structure of La2MgSnO6, with properties calculated at the SCAN level.

a = 5.608 Å, b = 5.608 Å, c = 5.608 Å
α = 61.09°, β = 61.09°, γ = 61.09°
Fractional positions:
La (0.250, 0.250, 0.250)
La (0.750, 0.750, 0.750)
Mg (0.000, 0.000, 0.000)
Sn (0.500, 0.500, 0.500)
O (0.164, 0.337, 0.747)
O (0.253, 0.836, 0.663)
O (0.337, 0.747, 0.164)
O (0.663, 0.253, 0.836)
O (0.747, 0.164, 0.337)
O (0.836, 0.663, 0.253)

Summary:
- Calculated total energy: -195.34 eV per cell
- Density of states at the Fermi level: 0.0 states/eV/cell
- Spin magnetization: 0.0000 μB/atom


Copy entry 1 word for word.
Below is a PBEsol-optimized structure of Sr2La2MgRu3O12, with properties calculated at the SCAN level.

a = 15.766 Å, b = 5.509 Å, c = 5.541 Å
α = 90.00°, β = 90.21°, γ = 90.00°
Fractional positions:
Sr (0.124, 0.006, 0.033)
Sr (0.124, 0.494, 0.533)
Sr (0.876, 0.506, 0.467)
Sr (0.876, 0.994, 0.967)
La (0.383, 0.508, 0.464)
La (0.383, 0.992, 0.964)
La (0.617, 0.008, 0.036)
La (0.617, 0.492, 0.536)
Mg (0.500, 0.000, 0.500)
Mg (0.500, 0.500, 0.000)
Ru (0.000, 0.000, 0.500)
Ru (0.000, 0.500, 0.000)
Ru (0.248, 0.004, 0.503)
Ru (0.248, 0.496, 0.003)
Ru (0.752, 0.504, 0.997)
Ru (0.752, 0.996, 0.497)
O (0.017, 0.218, 0.782)
O (0.017, 0.282, 0.282)
O (0.123, 0.562, 0.993)
O (0.123, 0.938, 0.493)
O (0.232, 0.214, 0.787)
O (0.232, 0.286, 0.287)
O (0.271, 0.715, 0.718)
O (0.271, 0.785, 0.218)
O (0.370, 0.068, 0.515)
O (0.370, 0.432, 0.015)
O (0.484, 0.698, 0.697)
O (0.484, 0.802, 0.197)
O (0.516, 0.198, 0.803)
O (0.516, 0.302, 0.303)
O (0.630, 0.568, 0.985)
O (0.630, 0.932, 0.485)
O (0.729, 0.215, 0.782)
O (0.729, 0.285, 0.282)
O (0.768, 0.714, 0.713)
O (0.768, 0.786, 0.213)
O (0.877, 0.062, 0.507)
O (0.877, 0.438, 0.007)
O (0.983, 0.718, 0.718)
O (0.983, 0.782, 0.218)

Summary:
- Relative energy among the computed polymorphs: 16 meV per atom
- Density of states at the Fermi level: 6.7 states/eV/cell
- Spin magnetization: 0.3000 μB/atom


density of states at the Fermi level of number 2 (Sr2La2MgRu3O12)? 2.0 states/eV/cell


Repeat the third record exactly.
Below is a PBEsol-optimized structure of La2MgSnO6, with properties calculated at the SCAN level.

a = 5.608 Å, b = 5.608 Å, c = 5.608 Å
α = 61.09°, β = 61.09°, γ = 61.09°
Fractional positions:
La (0.250, 0.250, 0.250)
La (0.750, 0.750, 0.750)
Mg (0.000, 0.000, 0.000)
Sn (0.500, 0.500, 0.500)
O (0.164, 0.337, 0.747)
O (0.253, 0.836, 0.663)
O (0.337, 0.747, 0.164)
O (0.663, 0.253, 0.836)
O (0.747, 0.164, 0.337)
O (0.836, 0.663, 0.253)

Summary:
- Calculated total energy: -195.34 eV per cell
- Density of states at the Fermi level: 0.0 states/eV/cell
- Spin magnetization: 0.0000 μB/atom